# TcSb3 | Alexandria | PBE-GGA | relaxed
data_TcSb3
_space_group_name_H-M_alt 'P 1'
_space_group_IT_number 1
_cell_length_a 3.387
_cell_length_b 8.681
_cell_length_c 6.625
_cell_angle_alpha 90.00
_cell_angle_beta 90.00
_cell_angle_gamma 90.00
loop_
_space_group_symop_operation_xyz
'x,y,z'
loop_
_atom_site_label
_atom_site_fract_x
_atom_site_fract_y
_atom_site_fract_z
Tc1 0.250 0.250 0.035
Tc2 0.750 0.750 0.965
Sb1 0.250 0.559 0.193
Sb2 0.250 0.750 0.645
Sb3 0.250 0.941 0.193
Sb4 0.750 0.059 0.807
Sb5 0.750 0.250 0.355
Sb6 0.750 0.441 0.807
# - total moment (μB/f.u.) = 0.00
# - formation energy from raw total energies (meV/atom) = 46.5